NaSiSnAu3 after structural relaxation. Source: the Alexandria database, functional PBE.

Structure (POSCAR):
```
NaSiSnAu3
1.0
-5.325 3.952 1.688
-3.685 -5.100 3.122
0.725 -1.274 6.675
Si Au Na Sn
2 6 2 2
direct
0.750 0.020 0.959
0.250 0.980 0.041
0.750 0.233 0.534
0.998 0.303 0.832
0.502 0.865 0.832
0.002 0.697 0.168
0.498 0.135 0.168
0.250 0.767 0.466
0.250 0.257 0.487
0.750 0.743 0.513
0.750 0.465 0.070
0.250 0.535 0.930
```

Calculated values
Energy relative to the elements, uncorrected in eV per atom: -0.144
Symmetry: C2/c, No. 15
M_tot in μB/f.u.: 0.000

=====

Na2SiSnAu6 after structural relaxation. Source: the Alexandria database, functional PBE.

Structure (POSCAR):
```
Na2SiSnAu6
1.0
-1.629 2.618 4.919
-7.201 -5.299 0.437
4.669 -5.955 4.716
Au Na Si Sn
12 4 2 2
direct
0.747 0.003 0.000
0.253 0.003 0.000
0.753 0.997 0.500
0.751 0.545 0.000
0.500 0.116 0.253
0.500 0.116 0.747
0.749 0.455 0.500
0.249 0.545 0.000
0.000 0.884 0.753
0.000 0.884 0.247
0.247 0.997 0.500
0.251 0.455 0.500
0.000 0.266 0.757
0.000 0.266 0.243
0.500 0.734 0.257
0.500 0.734 0.743
0.500 0.237 0.500
0.000 0.763 0.000
0.000 0.712 0.500
0.500 0.288 0.000
```

Calculated values
Energy relative to the elements, uncorrected in eV per atom: -0.200
Symmetry: Pmmn, No. 59
M_tot in μB/f.u.: 0.000

=====

Q: M_tot of number 2 (Na2SiSnAu6)?
A: 0.000 μB/f.u.